The following is a PBE calculation of a relaxed structure of La2CeThSe4, from Alexandria.

As for the raw formation energy: -1.84 eV per atom. Its calculated total energy is -6.481 eV per atom. The mass density is 7.35 Mg/m³.

The space group is P2/m (No. 10) and the conventional cell measures 7.3569, 4.2514 and 7.3975 Å, with angles of 90.00, 109.37 and 90.00 degrees. The asymmetric unit holds La at (0.0000, 0.0000, 0.0000), La at (0.5000, 0.5000, 0.0000), Ce at (0.0000, 0.5000, 0.5000), Th at (0.5000, 0.0000, 0.5000), Se at (0.2473, 0.0000, 0.7433) and Se at (0.2513, 0.5000, 0.2559).